Record 1
# GdDyYSc

A relaxed GdDyYSc crystal (PBE, Alexandria).

a b c (Å): 5.5508 5.5508 5.5508
angles (deg): 60.00 60.00 60.00
Last column: nearest neighbours and their distance in Å.
Fractional coordinates of all 4 atoms:
Sc  0.7500  0.7500  0.7500  4 Gd 3.40, 4 Dy 3.40
Y  0.2500  0.2500  0.2500  4 Gd 3.40, 4 Dy 3.40
Gd  0.5000  0.5000  0.5000  4 Sc 3.40, 4 Y 3.40
Dy  0.0000  0.0000  0.0000  4 Y 3.40, 4 Sc 3.40

- Formation enthalpy at 0 K: 0.117 eV/atom
- Energy relative to the lowest polymorph listed for this composition: 0.0 meV per atom
- DOS at the Fermi energy: 1.984 states/eV/atom
- Magnetic moment: 7.64 μB per formula unit
- Uncorrected energy: -7.753 eV per atom



Record 2
# GdDyScZn

A relaxed GdDyScZn crystal (PBE, Alexandria).

a b c (Å): 5.2262 5.2262 5.2262
angles (deg): 60.00 60.00 60.00
Last column: nearest neighbours and their distance in Å.
Fractional coordinates of all 4 atoms:
Zn  0.0000  0.0000  0.0000  4 Gd 3.20, 4 Dy 3.20
Sc  0.5000  0.5000  0.5000  4 Gd 3.20, 4 Dy 3.20
Gd  0.2500  0.2500  0.2500  4 Sc 3.20, 4 Zn 3.20
Dy  0.7500  0.7500  0.7500  4 Sc 3.20, 4 Zn 3.20

- Formation enthalpy at 0 K: -0.012 eV/atom
- DOS at the Fermi energy: 1.204 states/eV/atom
- Magnetic moment: 7.44 μB per formula unit
- Uncorrected energy: -6.585 eV per atom



Record 3
# GdDyZrSc

A relaxed GdDyZrSc crystal (PBE, Alexandria).

a b c (Å): 5.3641 5.3641 5.3641
angles (deg): 60.00 60.00 60.00
Last column: nearest neighbours and their distance in Å.
Fractional coordinates of all 4 atoms:
Gd  0.7500  0.7500  0.7500  4 Dy 3.28, 4 Sc 3.28
Sc  0.0000  0.0000  0.0000  4 Gd 3.28, 4 Zr 3.28
Dy  0.5000  0.5000  0.5000  4 Zr 3.28, 4 Gd 3.28
Zr  0.2500  0.2500  0.2500  4 Dy 3.28, 4 Sc 3.28

- Formation enthalpy at 0 K: 0.190 eV/atom
- DOS at the Fermi energy: 2.301 states/eV/atom
- Magnetic moment: 6.12 μB per formula unit
- Uncorrected energy: -8.201 eV per atom



Record 4
# GdDySe

A relaxed GdDySe crystal (PBE, Alexandria).

a b c (Å): 3.6085 3.6085 6.6918
angles (deg): 105.64 105.64 90.00
Last column: nearest neighbours and their distance in Å.
Fractional coordinates of all 3 atoms:
Dy  0.6915  0.6915  0.3829  4 Se 3.08
Se  0.3312  0.3312  0.6623  4 Dy 3.08, 4 Gd 3.13
Gd  0.9774  0.9774  0.9548  4 Se 3.13

- Energy relative to the lowest polymorph listed for this composition: 161.4 meV per atom
- DOS at the Fermi energy: 1.008 states/eV/atom
- Magnetic moment: 7.50 μB per formula unit
- Uncorrected energy: -8.361 eV per atom



Record 5
# GdDySe

A relaxed GdDySe crystal (PBE, Alexandria).

a b c (Å): 3.8728 3.8728 6.5701
angles (deg): 90.00 90.00 120.00
Last column: nearest neighbours and their distance in Å.
Fractional coordinates of all 3 atoms:
Dy  0.3333  0.6667  0.6140  3 Se 2.89
Gd  0.0000  0.0000  0.0506  3 Se 2.92
Se  0.6667  0.3333  0.3354  3 Dy 2.89, 3 Gd 2.92

- Energy relative to the lowest polymorph listed for this composition: 0.0 meV per atom
- DOS at the Fermi energy: 1.085 states/eV/atom
- Magnetic moment: 8.24 μB per formula unit
- Uncorrected energy: -8.523 eV per atom



Record 6
# GdDySi2

A relaxed GdDySi2 crystal (PBE, Alexandria).

a b c (Å): 4.6166 4.6166 5.7182
angles (deg): 66.19 66.19 60.00
Last column: nearest neighbours and their distance in Å.
Fractional coordinates of all 4 atoms:
Dy  0.5000  0.5000  0.5000  6 Si 2.94
Si  0.2485  0.2485  0.2544  3 Dy 2.94, 3 Gd 2.96
Si  0.7515  0.7515  0.7456  3 Dy 2.94, 3 Gd 2.96
Gd  0.0000  0.0000  0.0000  6 Si 2.96

- DOS at the Fermi energy: 0.537 states/eV/atom
- Magnetic moment: 7.09 μB per formula unit
- Uncorrected energy: -7.888 eV per atom



Record 7
# Gd2DySi

A relaxed Gd2DySi crystal (PBE, Alexandria).

a b c (Å): 4.6929 4.6333 4.6333
angles (deg): 90.00 90.00 90.00
Last column: nearest neighbours and their distance in Å.
Fractional coordinates of all 4 atoms:
Dy  0.5000  0.5000  0.5000  4 Si 3.28, 8 Gd 3.30
Si  0.5000  0.0000  0.0000  4 Dy 3.28, 8 Gd 3.30
Gd  0.0000  0.5000  0.0000  4 Gd 3.28, 4 Dy 3.30, 4 Si 3.30
Gd  0.0000  0.0000  0.5000  4 Gd 3.28, 4 Dy 3.30, 4 Si 3.30

- Energy relative to the lowest polymorph listed for this composition: 0.0 meV per atom
- DOS at the Fermi energy: 1.270 states/eV/atom
- Magnetic moment: 14.88 μB per formula unit
- Uncorrected energy: -9.819 eV per atom



Record 8
# Gd2DySi

A relaxed Gd2DySi crystal (PBE, Alexandria).

a b c (Å): 3.6039 3.6039 10.9488
angles (deg): 80.53 80.53 60.00
Last column: nearest neighbours and their distance in Å.
Fractional coordinates of all 4 atoms:
Gd  0.1061  0.1061  0.6817  3 Si 2.85
Gd  0.8939  0.8939  0.3183  3 Si 2.85
Dy  0.0000  0.0000  0.0000  2 Gd 3.42, 6 Dy 3.60
Si  0.5000  0.5000  0.5000  6 Gd 2.85

- Energy relative to the lowest polymorph listed for this composition: 286.5 meV per atom
- DOS at the Fermi energy: 1.131 states/eV/atom
- Magnetic moment: 15.17 μB per formula unit
- Uncorrected energy: -9.533 eV per atom



Record 9
# SmGdDy

A relaxed SmGdDy crystal (PBE, Alexandria).

a b c (Å): 3.5967 3.5967 7.9773
angles (deg): 103.03 103.03 90.00
Last column: nearest neighbours and their distance in Å.
Fractional coordinates of all 3 atoms:
Gd  0.9491  0.9491  0.8981  4 Dy 3.57, 4 Gd 3.60, 4 Sm 3.60
Dy  0.2829  0.2829  0.5659  4 Sm 3.56, 4 Gd 3.57, 4 Dy 3.60
Sm  0.6180  0.6180  0.2360  4 Dy 3.56, 4 Sm 3.60, 4 Gd 3.60

- Formation enthalpy at 0 K: 0.020 eV/atom
- DOS at the Fermi energy: 1.615 states/eV/atom
- Magnetic moment: 7.29 μB per formula unit
- Uncorrected energy: -7.781 eV per atom



Record 10
# SmGdDy

A relaxed SmGdDy crystal (PBE, Alexandria).

a b c (Å): 3.5892 3.5892 8.7612
angles (deg): 90.00 90.00 120.00
Last column: nearest neighbours and their distance in Å.
Fractional coordinates of all 3 atoms:
Sm  0.0000  0.0000  0.0023  3 Dy 3.56, 6 Sm 3.59, 3 Gd 3.61
Gd  0.3333  0.6667  0.6644  3 Dy 3.57, 6 Gd 3.59, 3 Sm 3.61
Dy  0.6667  0.3333  0.3333  3 Sm 3.56, 3 Gd 3.57, 6 Dy 3.59

- Formation enthalpy at 0 K: 0.019 eV/atom
- DOS at the Fermi energy: 1.499 states/eV/atom
- Magnetic moment: 7.32 μB per formula unit
- Uncorrected energy: -7.782 eV per atom



Record 11
# SmGdDySn

A relaxed SmGdDySn crystal (PBE, Alexandria).

a b c (Å): 5.4611 5.4611 5.4611
angles (deg): 60.00 60.00 60.00
Last column: nearest neighbours and their distance in Å.
Fractional coordinates of all 4 atoms:
Sn  0.2500  0.2500  0.2500  4 Gd 3.34, 4 Sm 3.34
Dy  0.7500  0.7500  0.7500  4 Gd 3.34, 4 Sm 3.34
Gd  0.0000  0.0000  0.0000  4 Dy 3.34, 4 Sn 3.34
Sm  0.5000  0.5000  0.5000  4 Dy 3.34, 4 Sn 3.34

- Formation enthalpy at 0 K: -0.265 eV/atom
- DOS at the Fermi energy: 1.041 states/eV/atom
- Magnetic moment: 7.94 μB per formula unit
- Uncorrected energy: -7.116 eV per atom



Record 12
# SmGdDyTh

A relaxed SmGdDyTh crystal (PBE, Alexandria).

a b c (Å): 5.6974 5.6974 5.6974
angles (deg): 60.00 60.00 60.00
Last column: nearest neighbours and their distance in Å.
Fractional coordinates of all 4 atoms:
Dy  0.5000  0.5000  0.5000  4 Th 3.49, 4 Sm 3.49
Gd  0.0000  0.0000  0.0000  4 Sm 3.49, 4 Th 3.49
Sm  0.2500  0.2500  0.2500  4 Dy 3.49, 4 Gd 3.49
Th  0.7500  0.7500  0.7500  4 Gd 3.49, 4 Dy 3.49

- Formation enthalpy at 0 K: 0.153 eV/atom
- DOS at the Fermi energy: 2.102 states/eV/atom
- Magnetic moment: 7.90 μB per formula unit
- Uncorrected energy: -7.552 eV per atom